(1)
Density functional theory data (PBE) for a geometry-optimized AcPuAlTl structure.

Cell lengths 7.8202, 7.8202, 7.8202 Å; angles 90.00, 90.00, 90.00 degrees
Space group F-43m (No. 216)
Asymmetric unit:
Ac1 0.0000 0.0000 0.0000
Pu1 0.0000 0.0000 0.5000
Al1 0.2500 0.2500 0.2500
Tl1 0.2500 0.2500 0.7500

Results
N(E_F) ... 43.44 states/eV/cell
Total magnetization ... 6.04 μB per formula unit
Energy relative to the elements ... -0.264 eV/f.u.


(2)
Density functional theory data (PBE) for a geometry-optimized AcPuAlZn structure.

Cell lengths 7.5686, 7.5686, 7.5686 Å; angles 90.00, 90.00, 90.00 degrees
Space group F-43m (No. 216)
Asymmetric unit:
Ac1 0.0000 0.0000 0.0000
Pu1 0.0000 0.0000 0.5000
Al1 0.2500 0.2500 0.2500
Zn1 0.2500 0.2500 0.7500

Results
N(E_F) ... 34.71 states/eV/cell
Total magnetization ... 6.27 μB per formula unit
Energy relative to the elements ... -0.339 eV/f.u.


(3)
Density functional theory data (PBE) for a geometry-optimized RbAcAl4 structure.

Cell lengths 8.4407, 8.4407, 8.4407 Å; angles 90.00, 90.00, 90.00 degrees
Space group F-43m (No. 216)
Asymmetric unit:
Rb1 0.0000 0.0000 0.0000
Ac1 0.2500 0.2500 0.7500
Al1 0.1242 0.1242 0.3758

Results
N(E_F) ... 18.45 states/eV/cell
Total magnetization ... 0.00 μB per formula unit
Energy relative to the elements ... -0.121 eV/f.u.


(4)
Density functional theory data (PBE) for a geometry-optimized RbAcAlS4 structure.

Cell lengths 7.3310, 5.8664, 9.7407 Å; angles 90.00, 104.28, 90.00 degrees
Space group P2_1/m (No. 11)
Asymmetric unit:
Rb1 0.2354 0.2500 0.4602
Ac1 0.2453 0.2500 0.9392
Al1 0.2564 0.7500 0.1821
S1 0.0643 0.7500 0.3231
S2 0.1110 0.7500 0.9490
S3 0.4933 0.0145 0.2166

Results
N(E_F) ... 3.28 states/eV/cell
Total magnetization ... 0.14 μB per formula unit
Energy relative to the elements, uncorrected ... -1.4595 eV/atom


(5)
Density functional theory data (PBE) for a geometry-optimized Rb4Ac3AlS8 structure.

Cell lengths 15.0801, 8.5105, 9.2308 Å; angles 90.00, 122.62, 90.00 degrees
Space group C2/m (No. 12)
Asymmetric unit:
Rb1 0.0000 0.0000 0.0000
Rb2 0.0000 0.5000 0.0000
Rb3 0.2500 0.2500 0.0000
Ac1 0.0000 0.0000 0.5000
Ac2 0.2500 0.2500 0.5000
Al1 0.0000 0.5000 0.5000
S1 0.0120 0.2919 0.3225
S2 0.2331 0.0000 0.7084
S3 0.2457 0.5000 0.7177

Results
Total magnetization ... 0.00 μB per formula unit
Energy relative to the elements, uncorrected ... -1.5846 eV/atom


(6)
Density functional theory data (PBE) for a geometry-optimized RbAc2AlS5 structure.

Cell lengths 8.3829, 8.3829, 13.6864 Å; angles 90.00, 90.00, 90.00 degrees
Space group I4/mcm (No. 140)
Asymmetric unit:
Rb1 0.0000 0.0000 0.2500
Ac1 0.1684 0.3316 0.0000
Al1 0.0000 0.5000 0.2500
S1 0.0000 0.0000 0.0000
S2 0.1389 0.3611 0.3619

Results
N(E_F) ... 0.00 states/eV/cell
Total magnetization ... 0.00 μB per formula unit
Energy relative to the elements, uncorrected ... -1.7766 eV/atom